First-principles (GGA-PBE) data for a geometry-optimized La5Pm2Pr5 structure, as listed in Alexandria via LeMat-Bulk.

Calculated values
* total moment: 0.00 μB per cell
* total energy: -115.8 eV for the cell shown
* ΔE_f: 14 kJ/mol of formula units
* density: 6.454 Mg/m³

a = 15.7534 Å, b = 5.2630 Å, c = 11.7229 Å
α = 90.00°, β = 116.58°, γ = 90.00°
Space group C2/m (No. 12)
Unique sites:
La 0.0000 0.0000 0.0000
La 0.0828 0.0000 0.7501
La 0.1661 0.0000 0.4998
Pm 0.0835 0.5000 0.2493
Pr 0.0000 0.5000 0.5000
Pr 0.1668 0.5000 0.9997
Pr 0.2486 0.0000 0.2494

First-principles (GGA-PBE) data for a geometry-optimized Ca3Ce2TaAs6 structure, as listed in Alexandria via LeMat-Bulk.

Calculated values
* total moment: 1.63 μB per cell
* total energy: -141.5 eV for the cell shown
* ΔE_f: -1267 kJ/mol of formula units
* density: 5.724 Mg/m³

a = 7.1161 Å, b = 12.3389 Å, c = 7.2228 Å
α = 90.00°, β = 109.41°, γ = 90.00°
Space group C2/m (No. 12)
Unique sites:
Ca 0.0000 0.0000 0.0000
Ca 0.0000 0.3280 0.0000
Ce 0.0000 0.1657 0.5000
Ta 0.0000 0.5000 0.5000
As 0.2320 0.3442 0.7288
As 0.2326 0.5000 0.2697

First-principles (GGA-PBE) data for a geometry-optimized Ac3Ni2Pt4 structure, as listed in Alexandria via LeMat-Bulk.

Calculated values
* total moment: 1.28 μB per cell
* total energy: -110.1 eV for the cell shown
* ΔE_f: -676 kJ/mol of formula units
* density: 12.211 Mg/m³

a = 4.4230 Å, b = 4.4230 Å, c = 25.3435 Å
α = 90.00°, β = 90.00°, γ = 120.00°
Space group P-6m2 (No. 187)
Unique sites:
Ac 0.0000 0.0000 0.0783
Ac 0.0000 0.0000 0.2509
Ac 0.0000 0.0000 0.4136
Ni 0.3333 0.6667 0.0000
Ni 0.6667 0.3333 0.0000
Ni 0.6667 0.3333 0.3325
Pt 0.3333 0.6667 0.1645
Pt 0.3333 0.6667 0.3324
Pt 0.3333 0.6667 0.5000
Pt 0.6667 0.3333 0.1650
Pt 0.6667 0.3333 0.5000

- The highest total moment belongs to which entry?
  Ca3Ce2TaAs6

Please write out number 2 again, unchanged.
First-principles (GGA-PBE) data for a geometry-optimized Ca3Ce2TaAs6 structure, as listed in Alexandria via LeMat-Bulk.

Calculated values
* total moment: 1.63 μB per cell
* total energy: -141.5 eV for the cell shown
* ΔE_f: -1267 kJ/mol of formula units
* density: 5.724 Mg/m³

a = 7.1161 Å, b = 12.3389 Å, c = 7.2228 Å
α = 90.00°, β = 109.41°, γ = 90.00°
Space group C2/m (No. 12)
Unique sites:
Ca 0.0000 0.0000 0.0000
Ca 0.0000 0.3280 0.0000
Ce 0.0000 0.1657 0.5000
Ta 0.0000 0.5000 0.5000
As 0.2320 0.3442 0.7288
As 0.2326 0.5000 0.2697

- The lowest density belongs to which entry?
  Ca3Ce2TaAs6